Density functional theory data (PBE-GGA) for a relaxed structure of Ca2LaCeTe4.

Results
- Magnetic moment: 1.5 μB per cell
- E_form (uncorrected): -1.523 eV/atom
- E_tot: -39.616 eV/cell
- SG: P2/m, No. 10

Cell: 4.494 7.948 7.791 Å, 70.93 90.00 90.00°
Fractional coordinates of all 8 atoms:
Te  0.500  0.242  0.755
Te  0.000  0.757  0.749
Te  0.000  0.243  0.251
Te  0.500  0.758  0.245
La  0.000  0.500  0.500
Ca  0.500  0.000  0.500
Ca  0.000  0.000  0.000
Ce  0.500  0.500  0.000

***

Density functional theory data (PBE-GGA) for a relaxed structure of TcHg2Sb.

Results
- Magnetic moment: 0.0 μB per cell
- E_form (uncorrected): 0.253 eV/atom
- E_tot: -14.082 eV/cell
- SG: Pm, No. 6

Cell: 3.254 3.226 8.842 Å, 82.24 90.00 90.00°
Fractional coordinates of all 4 atoms:
Sb  0.000  0.334  0.567
Tc  0.500  0.771  0.737
Hg  0.500  0.204  0.248
Hg  0.000  0.191  0.948

***

Density functional theory data (PBE-GGA) for a relaxed structure of TeRhPb2.

Results
- Magnetic moment: 0.0 μB per cell
- E_form (uncorrected): 0.148 eV/atom
- E_tot: -34.632 eV/cell
- SG: I-42d, No. 122

Cell: 6.567 6.567 8.090 Å, 66.05 66.05 90.00°
Fractional coordinates of all 8 atoms:
Te  0.000  0.000  0.000
Te  0.750  0.250  0.500
Rh  0.250  0.750  0.500
Rh  0.500  0.500  0.000
Pb  0.561  0.125  0.250
Pb  0.875  0.811  0.750
Pb  0.189  0.625  0.250
Pb  0.375  0.439  0.750